Record 1
Mg8Tl3: optimized geometry, PBE-GGA.

a b c (Å): 6.7157 6.7157 6.7157
angles (deg): 90.01 90.01 90.01
Fractional coordinates of all 11 atoms:
1 Mg 0.2402 0.7596 0.7597
2 Mg 0.7597 0.7597 0.7597
3 Mg 0.7598 0.2404 0.2403
4 Mg 0.2403 0.7598 0.2404
5 Mg 0.7596 0.7597 0.2402
6 Mg 0.2403 0.2403 0.2403
7 Mg 0.2404 0.2403 0.7598
8 Mg 0.7597 0.2402 0.7596
9 Tl 0.0000 0.5000 0.5000
10 Tl 0.5000 0.5000 0.0000
11 Tl 0.5000 0.0000 0.5000

Calculated values
* spin magnetization: 0.00 μB/f.u.
* energy relative to the elements: 0.13 eV/atom
* raw total energy: -1.680 eV per atom
* excess energy over the best structure of this formula in the dataset: 148.9 meV per atom


Record 2
MgTl2: optimized geometry, PBE-GGA.

a b c (Å): 7.1838 7.1838 7.1838
angles (deg): 90.00 90.00 90.00
Fractional coordinates of all 12 atoms:
1 Mg 0.0000 0.0000 0.0000
2 Mg 0.5000 0.0000 0.5000
3 Mg 0.0000 0.5000 0.5000
4 Mg 0.5000 0.5000 0.0000
5 Tl 0.8585 0.3585 0.8585
6 Tl 0.3585 0.1415 0.1415
7 Tl 0.1415 0.8585 0.6415
8 Tl 0.1415 0.6415 0.1415
9 Tl 0.6415 0.6415 0.3585
10 Tl 0.6415 0.8585 0.8585
11 Tl 0.8585 0.1415 0.3585
12 Tl 0.3585 0.3585 0.6415

Calculated values
* spin magnetization: 0.00 μB/f.u.
* energy relative to the elements: 0.18 eV/atom
* raw total energy: -1.930 eV per atom
* excess energy over the best structure of this formula in the dataset: 195.0 meV per atom


Record 3
MgTl3: optimized geometry, PBE-GGA.

a b c (Å): 3.4695 5.6311 5.7836
angles (deg): 90.00 90.00 90.00
Fractional coordinates of all 4 atoms:
1 Tl 0.5000 0.0000 0.4921
2 Tl 0.0000 0.5000 0.3384
3 Tl 0.5000 0.5000 0.8440
4 Mg 0.0000 0.0000 0.9921

Calculated values
* spin magnetization: 0.00 μB/f.u.
* energy relative to the elements: 0.02 eV/atom
* raw total energy: -2.153 eV per atom


Record 4
MgTl2: optimized geometry, PBE-GGA.

a b c (Å): 8.7458 8.7458 3.7012
angles (deg): 90.00 90.00 120.00
Fractional coordinates of all 9 atoms:
1 Mg 0.6667 0.3333 0.0000
2 Mg 0.3333 0.6667 0.0000
3 Mg 0.0000 0.0000 0.5000
4 Tl 0.7115 0.7115 0.0000
5 Tl 0.2885 0.0000 0.0000
6 Tl 0.0000 0.2885 0.0000
7 Tl 0.6230 0.0000 0.5000
8 Tl 0.0000 0.6230 0.5000
9 Tl 0.3770 0.3770 0.5000

Calculated values
* spin magnetization: 0.00 μB/f.u.
* energy relative to the elements: 0.00 eV/atom
* raw total energy: -2.109 eV per atom
* excess energy over the best structure of this formula in the dataset: 16.4 meV per atom